An optimized crystal structure of YU5C6. Source: the Alexandria database, functional PBE.

## Properties
ΔH_f (0 K) (eV/atom): -0.154
SG: C2/m, No. 12
Spin magnetization (μB per formula unit): 0.0

Unit cell a=6.0904 b=6.0580 c=6.0598 alpha=60.01 beta=80.42 gamma=70.54
With the nearest neighbours (Å) after each atom.
Fractional positions:
Y1 0.0000 0.0000 0.0000  6 C 2.57-2.59
C1 0.7389 0.0878 0.3480  5 U 2.40-2.49, 1 Y 2.59
C2 0.2611 0.5642 0.3480  5 U 2.40-2.49, 1 Y 2.59
C3 0.2504 0.2683 0.0000  5 U 2.39-2.49, 1 Y 2.57
C4 0.7496 0.7317 0.0000  5 U 2.39-2.49, 1 Y 2.57
C5 0.7389 0.4358 0.6520  5 U 2.40-2.49, 1 Y 2.59
C6 0.2611 0.9122 0.6520  5 U 2.40-2.49, 1 Y 2.59
U1 0.5000 0.1627 0.6746  6 C 2.40-2.49
U2 0.0000 0.3318 0.3364  6 C 2.45-2.48
U3 0.5000 0.5000 0.0000  6 C 2.39-2.48
U4 0.0000 0.6682 0.6636  6 C 2.45-2.48
U5 0.5000 0.8373 0.3254  6 C 2.40-2.49


An optimized crystal structure of Ca3PaS6. Source: the Alexandria database, functional PBE.

## Properties
SG: P2_1/c, No. 14
E_form (uncorrected) (eV per atom): -1.6926
Spin magnetization (μB per formula unit): 0.6

Unit cell a=6.9185 b=7.4440 c=9.7375 alpha=90.00 beta=87.16 gamma=90.00
With the nearest neighbours (Å) after each atom.
Fractional positions:
Ca1 0.5327 0.9126 0.7624  6 S 2.85-3.07
Ca2 0.5000 0.5000 0.0000  6 S 2.78-2.82
Ca3 0.4673 0.0874 0.2376  6 S 2.85-3.07
Ca4 0.0327 0.5874 0.2624  6 S 2.85-3.07
Ca5 0.0000 0.0000 0.5000  6 S 2.78-2.82
Ca6 0.9673 0.4126 0.7376  6 S 2.85-3.07
Pa1 0.5000 0.5000 0.5000  6 S 2.62-2.67
Pa2 0.0000 0.0000 0.0000  6 S 2.62-2.67
S1 0.6978 0.1862 0.9285  1 Pa 2.63, 2 Ca 2.78-2.87
S2 0.6752 0.2053 0.5896  1 Pa 2.67, 3 Ca 2.82-2.97
S3 0.6582 0.4305 0.2562  1 Pa 2.62, 3 Ca 2.82-2.89
S4 0.3418 0.5695 0.7438  1 Pa 2.62, 3 Ca 2.82-2.89
S5 0.3248 0.7947 0.4104  1 Pa 2.67, 3 Ca 2.82-2.97
S6 0.3022 0.8138 0.0715  1 Pa 2.63, 2 Ca 2.78-2.87
S7 0.1978 0.3138 0.4285  1 Pa 2.63, 2 Ca 2.78-2.87
S8 0.1752 0.2947 0.0896  1 Pa 2.67, 3 Ca 2.82-2.97
S9 0.1582 0.0695 0.7562  1 Pa 2.62, 3 Ca 2.82-2.89
S10 0.8418 0.9305 0.2438  1 Pa 2.62, 3 Ca 2.82-2.89
S11 0.8248 0.7053 0.9104  1 Pa 2.67, 3 Ca 2.82-2.97
S12 0.8022 0.6862 0.5715  1 Pa 2.63, 2 Ca 2.78-2.87